BeCuH2 | Alexandria via LeMat-Bulk | PBEsol | optimized geometry; crystal system = cubic; calculated total energy = -12.31 eV per cell
1.0
-3.205 -0.986 -0.229
-0.987 -2.859 1.465
-1.986 0.098 2.709
Cu H Be
1 2 1
direct
0.500 0.500 0.500
0.250 0.250 0.250
0.750 0.750 0.750
0.000 0.000 0.000

=====

BeCuH2Pb | Alexandria via LeMat-Bulk | PBEsol | optimized geometry; crystal system = tetragonal; calculated total energy = -15.42 eV per cell
1.0
-1.676 -2.222 2.233
-1.664 -1.523 -2.765
4.039 -3.533 -0.485
H Be Cu Pb
2 1 1 1
direct
0.000 0.500 0.000
0.500 0.000 0.000
0.000 0.000 0.000
0.500 0.500 0.500
0.000 0.000 0.500

=====

BeCuSn2H | Alexandria via LeMat-Bulk | PBEsol | optimized geometry; crystal system = tetragonal; calculated total energy = -17.79 eV per cell
1.0
-2.747 -1.748 0.108
-0.002 -0.300 -4.885
2.631 -4.119 0.252
Cu Sn Be H
1 2 1 1
direct
0.500 0.000 0.000
0.000 0.500 0.000
0.000 0.000 0.500
0.500 0.500 0.500
0.000 0.000 0.000

=====

HfBe3Cu | Alexandria via LeMat-Bulk | PBEsol | optimized geometry; formation energy = 0.2268 eV/atom; crystal system = cubic; calculated total energy = -25.70 eV per cell
1.0
-2.518 -3.034 0.044
3.026 -2.506 0.339
-0.233 0.250 3.929
Be Hf Cu
3 1 1
direct
0.000 0.000 0.500
0.000 0.500 0.000
0.500 0.000 0.000
0.500 0.500 0.500
0.000 0.000 0.000

=====

Hf2Be2Cu | Alexandria via LeMat-Bulk | PBEsol | optimized geometry; formation energy = -0.1697 eV/atom; crystal system = tetragonal; calculated total energy = -68.38 eV per cell
1.0
-0.804 -3.660 0.607
5.757 -0.982 1.711
-1.493 1.283 5.759
Hf Be Cu
4 4 2
direct
0.500 0.828 0.328
0.500 0.172 0.672
0.500 0.328 0.172
0.500 0.672 0.828
0.000 0.373 0.873
0.000 0.627 0.127
0.000 0.127 0.373
0.000 0.873 0.627
0.000 0.500 0.500
0.000 0.000 0.000

=====

Hf6Be15Cu8 | Alexandria via LeMat-Bulk | PBEsol | optimized geometry; formation energy = -0.2733 eV/atom; crystal system = cubic; calculated total energy = -165.62 eV per cell
1.0
7.751 0.000 0.000
3.875 6.712 0.000
3.875 2.237 6.329
Be Hf Cu
15 6 8
direct
0.324 0.324 0.324
0.973 0.676 0.676
0.676 0.973 0.676
0.000 0.500 0.500
0.000 0.000 0.000
0.027 0.324 0.324
0.000 0.500 0.000
0.324 0.027 0.324
0.676 0.676 0.973
0.676 0.676 0.676
0.500 0.500 0.000
0.000 0.000 0.500
0.500 0.000 0.500
0.500 0.000 0.000
0.324 0.324 0.027
0.702 0.702 0.298
0.702 0.298 0.702
0.702 0.298 0.298
0.298 0.702 0.702
0.298 0.298 0.702
0.298 0.702 0.298
0.368 0.877 0.877
0.123 0.123 0.632
0.877 0.877 0.877
0.123 0.632 0.123
0.877 0.877 0.368
0.632 0.123 0.123
0.123 0.123 0.123
0.877 0.368 0.877

=====

NaHfBeCu2 | Alexandria via LeMat-Bulk | PBEsol | optimized geometry; formation energy = 0.6649 eV/atom; crystal system = tetragonal; calculated total energy = -21.25 eV per cell
1.0
4.160 0.000 0.000
0.000 4.160 0.000
0.000 0.000 4.304
Na Hf Be Cu
1 1 1 2
direct
0.000 0.000 0.500
0.500 0.500 0.500
0.000 0.000 0.000
0.500 0.000 0.000
0.000 0.500 0.000

=====

HfBeCu2Pt | Alexandria via LeMat-Bulk | PBEsol | optimized geometry; formation energy = 0.9851 eV/atom; crystal system = tetragonal; calculated total energy = -25.21 eV per cell
1.0
-0.323 1.455 4.390
0.093 -4.398 1.464
4.791 0.197 0.287
Hf Cu Be Pt
1 2 1 1
direct
0.000 0.000 0.500
0.000 0.500 0.000
0.500 0.000 0.000
0.500 0.500 0.500
0.000 0.000 0.000

=====

BeCuHg2 | Alexandria via LeMat-Bulk | PBEsol | optimized geometry; formation energy = 0.3478 eV/atom; crystal system = trigonal; calculated total energy = -8.08 eV per cell
1.0
3.073 0.000 0.000
1.536 2.661 0.000
1.536 0.887 7.870
Hg Cu Be
2 1 1
direct
0.754 0.754 0.737
0.246 0.246 0.263
0.000 0.000 0.000
0.500 0.500 0.500

=====

BeCuHg2 | Alexandria via LeMat-Bulk | PBEsol | optimized geometry; formation energy = 0.2254 eV/atom; crystal system = orthorhombic; calculated total energy = -8.57 eV per cell
1.0
2.909 0.000 0.000
0.000 4.204 0.000
-1.454 -2.102 5.189
Cu Be Hg
1 1 2
direct
0.189 0.189 0.378
0.516 0.016 0.032
0.790 0.790 0.580
0.005 0.505 0.009

=====

BeCuHg2 | Alexandria via LeMat-Bulk | PBEsol | optimized geometry; formation energy = 0.2760 eV/atom; crystal system = tetragonal; calculated total energy = -8.36 eV per cell
1.0
3.121 0.000 0.057
0.000 3.119 0.000
-0.114 0.000 6.248
Hg Cu Be
2 1 1
direct
0.000 0.000 0.239
0.000 0.000 0.761
0.500 0.500 0.500
0.500 0.500 0.000

=====

Be3CuI | Alexandria via LeMat-Bulk | PBEsol | optimized geometry; crystal system = cubic; uncorrected formation energy = 1933 meV/atom; calculated total energy = -8.44 eV per cell
1.0
-1.430 -4.259 -1.216
1.275 0.828 -4.399
4.242 -1.685 0.912
Cu Be I
1 3 1
direct
0.500 0.500 0.500
0.000 0.500 0.000
0.500 0.000 0.000
0.000 0.000 0.500
0.000 0.000 0.000

=====

BeInCuI2 | Alexandria via LeMat-Bulk | PBEsol | optimized geometry; crystal system = tetragonal; uncorrected formation energy = 317 meV/atom; calculated total energy = -13.27 eV per cell
1.0
-3.722 2.100 0.331
-0.687 -0.351 -5.500
-2.667 -4.829 0.641
In I Cu Be
1 2 1 1
direct
0.500 0.500 0.500
0.000 0.500 0.000
0.000 0.000 0.500
0.000 0.000 0.000
0.500 0.000 0.000

=====

Be4InCu | Alexandria via LeMat-Bulk | PBEsol | optimized geometry; formation energy = 0.1342 eV/atom; crystal system = cubic; calculated total energy = -22.51 eV per cell
1.0
4.480 0.000 0.000
2.240 3.879 0.000
2.240 1.293 3.658
Cu Be In
1 4 1
direct
0.750 0.750 0.750
0.376 0.871 0.376
0.376 0.376 0.871
0.871 0.376 0.376
0.376 0.376 0.376
0.000 0.000 0.000

=====

Be4CuIr | Alexandria via LeMat-Bulk | PBEsol | optimized geometry; formation energy = -0.3172 eV/atom; crystal system = cubic; calculated total energy = -32.06 eV per cell
1.0
4.267 0.000 0.000
2.133 3.695 0.000
2.133 1.232 3.484
Cu Be Ir
1 4 1
direct
0.250 0.250 0.250
0.125 0.625 0.625
0.625 0.625 0.625
0.625 0.625 0.125
0.625 0.125 0.625
0.000 0.000 0.000

=====

BeCuIr2 | Alexandria via LeMat-Bulk | PBEsol | optimized geometry; formation energy = -0.1238 eV/atom; crystal system = trigonal; calculated total energy = -28.48 eV per cell
1.0
-2.370 -0.546 1.109
-2.126 -0.466 -1.552
0.245 -8.050 -0.219
Ir Be Cu
2 1 1
direct
0.757 0.757 0.730
0.243 0.243 0.270
0.500 0.500 0.500
0.000 0.000 0.000

=====

Be2CuIr | Alexandria via LeMat-Bulk | PBEsol | optimized geometry; formation energy = -0.3970 eV/atom; crystal system = cubic; calculated total energy = -23.75 eV per cell; energy above the lowest structure with this stoichiometry = 0.0057 eV per atom
1.0
3.854 0.000 0.000
1.927 3.337 0.000
1.927 1.112 3.146
Ir Be Cu
1 2 1
direct
0.500 0.500 0.500
0.750 0.750 0.750
0.250 0.250 0.250
0.000 0.000 0.000

=====

Be2CuIr | Alexandria via LeMat-Bulk | PBEsol | optimized geometry; formation energy = -0.4026 eV/atom; crystal system = tetragonal; calculated total energy = -23.77 eV per cell; energy above the lowest structure with this stoichiometry = 0.0000 eV per atom
1.0
2.805 0.000 0.000
0.000 2.805 0.000
0.000 0.000 5.235
Be Ir Cu
2 1 1
direct
0.000 0.000 0.738
0.000 0.000 0.262
0.500 0.500 0.500
0.500 0.500 0.000

=====

BeCuIr3 | Alexandria via LeMat-Bulk | PBEsol | optimized geometry; formation energy = 1.9375 eV/atom; crystal system = cubic; calculated total energy = -28.12 eV per cell
1.0
-4.135 -1.247 -0.740
1.433 -3.857 -1.506
-0.223 -1.663 4.048
Be Ir Cu
1 3 1
direct
0.500 0.500 0.500
0.000 0.000 0.500
0.000 0.500 0.000
0.500 0.000 0.000
0.000 0.000 0.000

=====

Be3CuIr | Alexandria via LeMat-Bulk | PBEsol | optimized geometry; formation energy = 0.6583 eV/atom; crystal system = cubic; calculated total energy = -22.87 eV per cell
1.0
3.832 0.000 0.000
0.000 3.832 0.000
0.000 0.000 3.832
Be Cu Ir
3 1 1
direct
0.500 0.000 0.000
0.000 0.000 0.500
0.000 0.500 0.000
0.000 0.000 0.000
0.500 0.500 0.500